Entry 1:
4
Lattice="3.004 0.006 0.000 -0.918 5.153 0.000 -1.043 -2.579 5.163" Properties=species:S:1:pos:R:3 comment="YMg2Tc, PBEsol geometry, DFT meta-GGA SCAN" e_tot_ry_per_atom=-1.3169 dos_ef_per_ev_atom=0.66 de_polymorph_ev_per_fu=0.88 total_magnetization_mub_per_fu=0.0 formation_enthalpy_0k_ev_per_fu=1.18 pbc="T T T"
Mg 0.521 1.290 2.582
Tc 1.502 0.003 0.000
Y -0.459 2.577 0.000
Mg -0.521 -1.290 2.582



Entry 2:
4
Lattice="3.704 0.000 0.000 0.000 4.576 0.000 -1.852 0.000 5.453" Properties=species:S:1:pos:R:3 comment="Y2MgTc, PBEsol geometry, DFT meta-GGA SCAN" e_tot_ry_per_atom=-1.7495 dos_ef_per_ev_atom=1.07 total_magnetization_mub_per_fu=0.0 formation_enthalpy_0k_ev_per_fu=0.51 pbc="T T T"
Y 0.000 0.000 1.133
Mg 1.852 0.000 3.456
Y 0.000 2.288 4.362
Tc 1.852 2.288 1.974



Entry 3:
4
Lattice="3.090 0.000 0.000 0.000 3.090 0.000 0.000 0.000 7.810" Properties=species:S:1:pos:R:3 comment="YMgTc2, PBEsol geometry, DFT meta-GGA SCAN" e_tot_ry_per_atom=-1.8937 dos_ef_per_ev_atom=0.86 total_magnetization_mub_per_fu=0.0 formation_enthalpy_0k_ev_per_fu=-0.13 pbc="T T T"
Tc 0.000 0.000 0.257
Y 0.000 0.000 3.637
Tc 1.545 1.545 1.568
Mg 1.545 1.545 6.252



Entry 4:
6
Lattice="5.238 0.000 0.000 2.619 4.537 0.000 2.619 1.512 4.277" Properties=species:S:1:pos:R:3 comment="YMgTc4, PBEsol geometry, DFT meta-GGA SCAN" e_tot_ry_per_atom=-2.1248 dos_ef_per_ev_atom=0.72 total_magnetization_mub_per_fu=0.0 formation_enthalpy_0k_ev_per_fu=-0.40 pbc="T T T"
Tc 5.238 3.024 3.748
Tc 6.553 2.266 1.602
Y 7.858 4.537 3.208
Tc 3.924 2.266 1.602
Tc 5.238 4.542 1.602
Mg 0.000 0.000 0.000